Density functional theory data (PBE) for a geometry-optimized DyNpTe2 structure.

Summary:
The calculation puts the uncorrected formation energy at -1.60 eV per formula unit. Its magnetic moment is 4.30 Bohr magnetons per cell. Its symmetry is R-3m (166). The calculated total energy is -25.42 eV for the cell shown. For the polymorph energy (0 for the lowest one), the calculation gives 0.438 eV per atom.

Unit cell a=10.1274 b=10.1274 c=10.1274 alpha=23.69 beta=23.69 gamma=23.69
Sites, in units of the cell vectors:
Dy 0.0000 0.0000 0.0000
Np 0.5000 0.5000 0.5000
Te 0.1011 0.1011 0.1011
Te 0.8989 0.8989 0.8989


Density functional theory data (PBE) for a geometry-optimized DyNpTe2 structure.

Summary:
The calculation puts the uncorrected formation energy at -3.35 eV per formula unit. Its magnetic moment is 5.36 Bohr magnetons per cell. Its symmetry is P4/mmm (123). The calculated total energy is -27.18 eV for the cell shown. For the polymorph energy (0 for the lowest one), the calculation gives 0.000 eV per atom.

Unit cell a=3.7603 b=3.7603 c=7.6133 alpha=90.00 beta=90.00 gamma=90.00
Sites, in units of the cell vectors:
Dy 0.0000 0.0000 0.0000
Np 0.0000 0.0000 0.5000
Te 0.5000 0.5000 0.2472
Te 0.5000 0.5000 0.7528


Density functional theory data (PBE) for a geometry-optimized Dy3NpTl4Te8 structure.

Summary:
The calculation puts the uncorrected formation energy at -14.79 eV per formula unit. Its magnetic moment is 4.00 Bohr magnetons per cell. Its symmetry is R-3m (166). The calculated total energy is -76.14 eV for the cell shown.

Unit cell a=9.6617 b=9.6617 c=9.6617 alpha=55.05 beta=55.05 gamma=55.05
Sites, in units of the cell vectors:
Dy 0.0000 0.5000 0.5000
Dy 0.5000 0.0000 0.5000
Dy 0.5000 0.5000 0.0000
Np 0.0000 0.0000 0.0000
Tl 0.0000 0.0000 0.5000
Tl 0.0000 0.5000 0.0000
Tl 0.5000 0.0000 0.0000
Tl 0.5000 0.5000 0.5000
Te 0.2399 0.2399 0.7342
Te 0.2399 0.7342 0.2399
Te 0.2624 0.2624 0.2624
Te 0.2658 0.7601 0.7601
Te 0.7342 0.2399 0.2399
Te 0.7376 0.7376 0.7376
Te 0.7601 0.2658 0.7601
Te 0.7601 0.7601 0.2658